The following is a DFT calculation (PBE) of a relaxed K2Rb2Na crystal.

Lattice parameters (Å, degrees): 10.9044 12.7996 11.5729 90.00 116.50 90.00
Last column: nearest neighbours and their distance in Å.
Space group C2/m (No. 12)
Inequivalent atoms, fractional coordinates:
K 0.1665 0.0000 0.4297 [4 per cell]  3 K 4.58-4.78, 6 Rb 4.67-4.87, 2 Na 4.81
K 0.2197 0.5000 0.1209 [4 per cell]  2 Na 4.28, 3 K 4.34-4.78, 4 Rb 4.53-4.76
Rb 0.0733 0.3115 0.7271 [8 per cell]  2 Na 4.21-4.35, 3 K 4.53-4.67
Na 0.0000 0.1397 0.0000 [4 per cell]  1 Na 3.58

Results
Calculated total energy in eV/atom: -1.06
Energy relative to the lowest polymorph listed for this composition in meV/atom: 0.0


The following is a DFT calculation (PBE) of a relaxed KRb8Na2 crystal.

Lattice parameters (Å, degrees): 23.5964 7.0549 11.1792 90.00 112.33 90.00
Last column: nearest neighbours and their distance in Å.
Space group C2/m (No. 12)
Inequivalent atoms, fractional coordinates:
K 0.0000 0.0000 0.0000 [2 per cell]  12 Rb 4.64-5.11
Rb 0.0430 0.5000 0.7329 [4 per cell]  1 Na 4.44, 4 Rb 4.73-4.95, 2 K 4.97
Rb 0.1135 0.0000 0.4694 [4 per cell]  3 Na 4.36-4.78, 3 Rb 4.75-4.77
Rb 0.1603 0.5000 0.2349 [4 per cell]  3 Na 4.44-4.46, 4 Rb 4.74-4.95
Rb 0.1811 0.0000 0.9275 [4 per cell]  1 Na 4.28, 1 K 4.64, 6 Rb 4.65-4.75
Na 0.2163 0.5000 0.6635 [4 per cell]  8 Rb 4.28-4.78

Results
Calculated total energy in eV/atom: -1.02
Energy relative to the lowest polymorph listed for this composition in meV/atom: 0.0


The following is a DFT calculation (PBE) of a relaxed K4Rb4Na3 crystal.

Lattice parameters (Å, degrees): 14.3643 4.7181 22.6761 90.00 90.00 90.00
Last column: nearest neighbours and their distance in Å.
Space group Amm2 (No. 38)
Inequivalent atoms, fractional coordinates:
K 0.0000 0.0000 0.0000 [2 per cell]  6 Na 4.04-4.21
K 0.2206 0.0000 0.8281 [4 per cell]  4 Na 4.00-4.03, 1 Rb 4.29
K 0.5000 0.0000 0.9658 [2 per cell]  4 Na 4.44, 3 Rb 4.63-4.72, 2 K 4.72
Rb 0.0000 0.0000 0.6838 [2 per cell]  2 Na 4.55, 4 K 4.55-4.79, 6 Rb 4.72-4.98
Rb 0.2915 0.0000 0.1269 [4 per cell]  2 Na 4.31, 2 Rb 4.72, 1 K 4.72
Rb 0.5000 0.0000 0.7617 [2 per cell]  3 K 4.29-4.63, 2 Rb 4.72
Na 0.0000 0.0000 0.3554 [2 per cell]  6 K 4.00-4.04, 2 Na 4.32
Na 0.2382 0.0000 0.4716 [4 per cell]  6 K 4.03-4.44, 2 Rb 4.31, 1 Na 4.32

Results
Calculated total energy in eV/atom: -1.07
Energy relative to the lowest polymorph listed for this composition in meV/atom: 21.6


The following is a DFT calculation (PBE) of a relaxed K3Rb8Na2 crystal.

Lattice parameters (Å, degrees): 10.6349 7.0795 13.9382 90.00 104.50 90.00
Last column: nearest neighbours and their distance in Å.
Space group P2/m (No. 10)
Inequivalent atoms, fractional coordinates:
K 0.0000 0.0000 0.0000 [1 per cell]  8 Rb 4.80-4.95, 4 K 4.82
K 0.2721 0.5000 0.9306 [2 per cell]  3 K 4.75-4.82, 9 Rb 4.76-5.09
Rb 0.0835 0.0000 0.6723 [2 per cell]  2 Na 4.33-4.78, 5 Rb 4.69-4.79
Rb 0.1735 0.5000 0.2462 [2 per cell]  2 Na 4.47, 4 K 4.76-4.95, 6 Rb 4.78-4.98
Rb 0.3502 0.5000 0.6017 [2 per cell]  2 Na 4.24
Rb 0.4551 0.0000 0.1626 [2 per cell]  1 Na 4.26
Na 0.3357 0.0000 0.4322 [2 per cell]  1 Na 3.53

Results
Calculated total energy in eV/atom: -1.03
Energy relative to the lowest polymorph listed for this composition in meV/atom: 0.0


The following is a DFT calculation (PBE) of a relaxed KRbNa crystal.

Lattice parameters (Å, degrees): 6.6389 7.9420 8.3745 96.39 113.30 90.37
Last column: nearest neighbours and their distance in Å.
Space group P1 (No. 1)
Inequivalent atoms, fractional coordinates:
K 0.0000 0.0000 0.0000 [1 per cell]  3 Na 3.96-4.11
K 0.1428 0.5421 0.2896 [1 per cell]  3 Na 3.97-4.11
Rb 0.4395 0.4445 0.8837 [1 per cell]  4 Na 4.19-4.33, 2 K 4.56
Rb 0.7036 0.0996 0.4064 [1 per cell]  4 Na 4.19-4.33, 2 K 4.56
Na 0.3434 0.9125 0.6865 [1 per cell]  3 K 3.97-4.11, 2 Na 4.01, 4 Rb 4.19-4.33
Na 0.7990 0.6311 0.6026 [1 per cell]  3 K 3.96-4.11, 2 Na 4.01, 4 Rb 4.19-4.33

Results
Calculated total energy in eV/atom: -1.09
Energy relative to the lowest polymorph listed for this composition in meV/atom: 13.5


The following is a DFT calculation (PBE) of a relaxed K7Rb3Na crystal.

Lattice parameters (Å, degrees): 16.0164 15.6332 7.7541 90.00 116.86 90.00
Last column: nearest neighbours and their distance in Å.
Space group C2/m (No. 12)
Inequivalent atoms, fractional coordinates:
K 0.0000 0.0000 0.0000 [2 per cell]  2 Na 3.88
K 0.1678 0.2558 0.6660 [8 per cell]  4 K 4.33-4.80, 4 Rb 4.51-4.78, 1 Na 4.66
K 0.2189 0.5000 0.1876 [4 per cell]  1 Na 4.04, 2 K 4.33
Rb 0.0000 0.2803 0.0000 [4 per cell]  9 K 4.38-4.78
Rb 0.0000 0.5000 0.5000 [2 per cell]  6 K 4.51-4.88
Na 0.0000 0.0000 0.5000 [2 per cell]  4 K 3.88-4.04

Results
Calculated total energy in eV/atom: -1.02


The following is a DFT calculation (PBE) of a relaxed K3Rb4Na2 crystal.

Lattice parameters (Å, degrees): 21.2634 6.7996 9.5600 90.00 111.59 90.00
Last column: nearest neighbours and their distance in Å.
Space group C2/m (No. 12)
Inequivalent atoms, fractional coordinates:
K 0.0000 0.0000 0.0000 [2 per cell]  6 Rb 4.46-4.53, 2 K 4.48, 4 Na 4.76
K 0.1256 0.0000 0.7125 [4 per cell]  3 Na 4.24-4.46, 1 K 4.48, 2 Rb 4.69
Rb 0.0533 0.5000 0.3252 [4 per cell]  2 Na 4.37-4.45, 4 K 4.46-4.84, 2 Rb 4.68-4.82
Rb 0.2230 0.0000 0.2913 [4 per cell]  3 Na 4.32-4.39, 3 K 4.53-4.69, 1 Rb 4.82
Na 0.1556 0.5000 0.9939 [4 per cell]  3 K 4.24-4.46, 5 Rb 4.32-4.45

Results
Calculated total energy in eV/atom: -1.06
Energy relative to the lowest polymorph listed for this composition in meV/atom: 0.0


The following is a DFT calculation (PBE) of a relaxed KRb6Na3 crystal.

Lattice parameters (Å, degrees): 17.6784 4.6990 17.8785 90.00 102.94 90.00
Last column: nearest neighbours and their distance in Å.
Space group P2_1/m (No. 11)
Inequivalent atoms, fractional coordinates:
K 0.0486 0.2500 0.2469 [2 per cell]  2 Na 4.48, 5 Rb 4.55-5.00, 2 K 4.70
Rb 0.1181 0.2500 0.9858 [2 per cell]  2 Na 4.20, 2 Rb 4.70
Rb 0.2055 0.7500 0.4661 [2 per cell]  5 Na 4.32-4.67, 2 Rb 4.70
Rb 0.2098 0.7500 0.7566 [2 per cell]  3 Na 4.17-4.45, 1 K 4.55
Rb 0.2931 0.7500 0.2270 [2 per cell]  3 Na 4.35-4.44, 3 Rb 4.70-4.86
Rb 0.4091 0.2500 0.6485 [2 per cell]  3 Na 4.02-4.26
Rb 0.4987 0.2500 0.1197 [2 per cell]  3 Na 4.18-4.24
Na 0.0450 0.2500 0.5808 [2 per cell]  2 Na 3.79
Na 0.3160 0.7500 0.9899 [2 per cell]  7 Rb 4.17-4.35
Na 0.4211 0.2500 0.4264 [2 per cell]  5 Rb 4.02-4.44, 2 Na 4.11

Results
Calculated total energy in eV/atom: -1.04


- Which formula does entry 1 have?
  K2Rb2Na